# La2Tb7Pm (PBE-GGA, optimized geometry)
# DFT formation energy = 22 meV/atom
# Distance to the lowest polymorph of the same formula = 0 meV/atom
data_La2Tb7Pm
_symmetry_space_group_name_H-M 'P -1'
_symmetry_Int_Tables_number 2
_cell_length_a 6.237
_cell_length_b 6.251
_cell_length_c 9.551
_cell_angle_alpha 102.58
_cell_angle_beta 108.95
_cell_angle_gamma 99.61
loop_
_symmetry_equiv_pos_as_xyz
'x,y,z'
'-x,-y,-z'
loop_
_atom_site_label
_atom_site_type_symbol
_atom_site_fract_x
_atom_site_fract_y
_atom_site_fract_z
La1 La 0.100 0.001 0.200
Tb1 Tb 0.103 0.500 0.700
Tb2 Tb 0.298 0.000 0.600
Tb3 Tb 0.302 0.502 0.100
Tb4 Tb 0.500 0.000 0.000
Pm1 Pm 0.500 0.500 0.500



# Rb4Ce3GeSe8 (PBE-GGA, optimized geometry)
# Formation energy from raw total energies = -1.440 eV per atom
data_Rb4Ce3GeSe8
_symmetry_space_group_name_H-M 'R -3 m'
_symmetry_Int_Tables_number 166
_symmetry_space_group_name_Hall '-R 3 2"'
_cell_length_a 8.7123
_cell_length_b 8.7123
_cell_length_c 23.7533
_cell_angle_alpha 90.00
_cell_angle_beta 90.00
_cell_angle_gamma 120.00
loop_
_atom_site_label
_atom_site_type_symbol
_atom_site_fract_x
_atom_site_fract_y
_atom_site_fract_z
Rb1 Rb 0.0000 0.0000 0.0000
Rb2 Rb 0.0000 0.5000 0.0000
Ce1 Ce 0.0000 0.5000 0.5000
Ge1 Ge 0.0000 0.0000 0.5000
Se1 Se 0.0000 0.0000 0.2335
Se2 Se 0.0011 0.5005 0.2311



# LaGeTe (PBE-GGA, optimized geometry)
# Formation energy from raw total energies = -0.913 eV per atom
data_LaGeTe
_symmetry_space_group_name_H-M 'R -3 m'
_symmetry_Int_Tables_number 166
_symmetry_space_group_name_Hall '-R 3 2"'
_cell_length_a 4.4307
_cell_length_b 4.4307
_cell_length_c 36.0570
_cell_angle_alpha 90.00
_cell_angle_beta 90.00
_cell_angle_gamma 120.00
loop_
_atom_site_label
_atom_site_type_symbol
_atom_site_fract_x
_atom_site_fract_y
_atom_site_fract_z
La1 La 0.0000 0.0000 0.0664
Ge1 Ge 0.0000 0.0000 0.3457
Te1 Te 0.0000 0.0000 0.2179



# ZrZn4P (PBE-GGA, optimized geometry)
# DFT formation energy = 87 meV/atom
data_ZrZn4P
_symmetry_space_group_name_H-M 'F -4 3 m'
_symmetry_Int_Tables_number 216
_symmetry_space_group_name_Hall 'F -4 2 3'
_cell_length_a 7.324
_cell_length_b 7.324
_cell_length_c 7.324
_cell_angle_alpha 90.00
_cell_angle_beta 90.00
_cell_angle_gamma 90.00
loop_
_atom_site_label
_atom_site_type_symbol
_atom_site_fract_x
_atom_site_fract_y
_atom_site_fract_z
Zr1 Zr 0.000 0.000 0.000
Zn1 Zn 0.125 0.125 0.625
P1 P 0.250 0.250 0.250



# Cd2AgAu (PBE-GGA, optimized geometry)
# DFT formation energy = 57 meV/atom
# Distance to the lowest polymorph of the same formula = 187 meV/atom
data_Cd2AgAu
_symmetry_space_group_name_H-M 'I -4 2 d'
_symmetry_Int_Tables_number 122
_symmetry_space_group_name_Hall 'I -4 2bw'
_cell_length_a 4.167
_cell_length_b 4.167
_cell_length_c 19.920
_cell_angle_alpha 90.00
_cell_angle_beta 90.00
_cell_angle_gamma 90.00
loop_
_atom_site_label
_atom_site_type_symbol
_atom_site_fract_x
_atom_site_fract_y
_atom_site_fract_z
Cd1 Cd 0.248 0.250 0.125
Ag1 Ag 0.000 0.000 0.500
Au1 Au 0.000 0.000 0.000



# CeYHo5 (PBE-GGA, optimized geometry)
# DFT formation energy = 227 meV/atom
data_CeYHo5
_symmetry_space_group_name_H-M 'C 1 2/c 1'
_symmetry_Int_Tables_number 15
_cell_length_a 11.248
_cell_length_b 6.442
_cell_length_c 12.557
_cell_angle_alpha 90.00
_cell_angle_beta 96.86
_cell_angle_gamma 90.00
loop_
_symmetry_equiv_pos_as_xyz
'x,y,z'
'-x,-y,-z'
'-x,y,-z+1/2'
'x,-y,z+1/2'
'x+1/2,y+1/2,z'
'-x+1/2,-y+1/2,-z'
'-x+1/2,y+1/2,-z+1/2'
'x+1/2,-y+1/2,z+1/2'
loop_
_atom_site_label
_atom_site_type_symbol
_atom_site_fract_x
_atom_site_fract_y
_atom_site_fract_z
Ce1 Ce 0.000 0.000 0.000
Y1 Y 0.000 0.265 0.250
Ho1 Ho 0.000 0.256 0.750
Ho2 Ho 0.164 0.495 0.556
Ho3 Ho 0.233 0.005 0.180



# SiPtAu3 (PBE-GGA, optimized geometry)
# Formation energy from raw total energies = 0.566 eV per atom
# Distance to the lowest polymorph of the same formula = 0 meV/atom
data_SiPtAu3
_symmetry_space_group_name_H-M 'P m -3 m'
_symmetry_Int_Tables_number 221
_symmetry_space_group_name_Hall '-P 4 2 3'
_cell_length_a 4.657
_cell_length_b 4.657
_cell_length_c 4.657
_cell_angle_alpha 90.00
_cell_angle_beta 90.00
_cell_angle_gamma 90.00
loop_
_atom_site_label
_atom_site_type_symbol
_atom_site_fract_x
_atom_site_fract_y
_atom_site_fract_z
Si1 Si 0.000 0.000 0.000
Pt1 Pt 0.500 0.500 0.500
Au1 Au 0.000 0.000 0.500



# Rh2W2Au (PBE-GGA, optimized geometry)
# DFT formation energy = 148 meV/atom
# Distance to the lowest polymorph of the same formula = 57 meV/atom
data_Rh2W2Au
_symmetry_space_group_name_H-M 'P 4/m b m'
_symmetry_Int_Tables_number 127
_symmetry_space_group_name_Hall '-P 4 2ab'
_cell_length_a 7.705
_cell_length_b 7.705
_cell_length_c 2.773
_cell_angle_alpha 90.00
_cell_angle_beta 90.00
_cell_angle_gamma 90.00
loop_
_atom_site_label
_atom_site_type_symbol
_atom_site_fract_x
_atom_site_fract_y
_atom_site_fract_z
Rh1 Rh 0.170 0.330 0.000
W1 W 0.120 0.620 0.500
Au1 Au 0.000 0.000 0.500



# AgTeSe (PBE-GGA, optimized geometry)
# Formation energy from raw total energies = -0.021 eV per atom
# Distance to the lowest polymorph of the same formula = 2 meV/atom
data_AgTeSe
_symmetry_space_group_name_H-M 'P 1 21/c 1'
_symmetry_Int_Tables_number 14
_cell_length_a 5.026
_cell_length_b 8.411
_cell_length_c 7.571
_cell_angle_alpha 90.00
_cell_angle_beta 90.24
_cell_angle_gamma 90.00
loop_
_symmetry_equiv_pos_as_xyz
'x,y,z'
'-x,-y,-z'
'-x,y+1/2,-z+1/2'
'x,-y+1/2,z+1/2'
loop_
_atom_site_label
_atom_site_type_symbol
_atom_site_fract_x
_atom_site_fract_y
_atom_site_fract_z
Ag1 Ag 0.188 0.156 0.443
Te1 Te 0.465 0.602 0.770
Se1 Se 0.128 0.672 0.341



# MgTl2Os (PBE-GGA, optimized geometry)
# DFT formation energy = 590 meV/atom
# Distance to the lowest polymorph of the same formula = 121 meV/atom
data_MgTl2Os
_symmetry_space_group_name_H-M 'I -4 m 2'
_symmetry_Int_Tables_number 119
_symmetry_space_group_name_Hall 'I -4 -2'
_cell_length_a 4.194
_cell_length_b 4.194
_cell_length_c 9.019
_cell_angle_alpha 90.00
_cell_angle_beta 90.00
_cell_angle_gamma 90.00
loop_
_atom_site_label
_atom_site_type_symbol
_atom_site_fract_x
_atom_site_fract_y
_atom_site_fract_z
Mg1 Mg 0.000 0.000 0.000
Tl1 Tl 0.000 0.000 0.500
Tl2 Tl 0.000 0.500 0.250
Os1 Os 0.000 0.500 0.750



# Sr3Tm2UP6 (PBE-GGA, optimized geometry)
# DFT formation energy = -1239 meV/atom
data_Sr3Tm2UP6
_symmetry_space_group_name_H-M 'C 1 2/m 1'
_symmetry_Int_Tables_number 12
_cell_length_a 7.083
_cell_length_b 12.268
_cell_length_c 7.327
_cell_angle_alpha 90.00
_cell_angle_beta 108.81
_cell_angle_gamma 90.00
loop_
_symmetry_equiv_pos_as_xyz
'x,y,z'
'-x,-y,-z'
'-x,y,-z'
'x,-y,z'
'x+1/2,y+1/2,z'
'-x+1/2,-y+1/2,-z'
'-x+1/2,y+1/2,-z'
'x+1/2,-y+1/2,z'
loop_
_atom_site_label
_atom_site_type_symbol
_atom_site_fract_x
_atom_site_fract_y
_atom_site_fract_z
Sr1 Sr 0.000 0.000 0.000
Sr2 Sr 0.000 0.330 0.000
Tm1 Tm 0.000 0.166 0.500
U1 U 0.000 0.500 0.500
P1 P 0.231 0.340 0.713
P2 P 0.247 0.500 0.287



# Rb2TcAgS (PBE-GGA, optimized geometry)
# Formation energy from raw total energies = 0.889 eV per atom
data_Rb2TcAgS
_symmetry_space_group_name_H-M 'P 4/m m m'
_symmetry_Int_Tables_number 123
_symmetry_space_group_name_Hall '-P 4 2'
_cell_length_a 6.298
_cell_length_b 6.298
_cell_length_c 5.242
_cell_angle_alpha 90.00
_cell_angle_beta 90.00
_cell_angle_gamma 90.00
loop_
_atom_site_label
_atom_site_type_symbol
_atom_site_fract_x
_atom_site_fract_y
_atom_site_fract_z
Rb1 Rb 0.000 0.500 0.000
Tc1 Tc 0.000 0.000 0.500
Ag1 Ag 0.000 0.000 0.000
S1 S 0.500 0.500 0.500



| no. | magnetic moment (μB/f.u.) | density (Mg/m³) |
| --- | --- | --- |
| 1 | 0.0 | 7.68 |
| 2 | 2.0 | 4.68 |
| 3 | 0.0 | 5.51 |
| 4 | 0.0 | 6.49 |
| 5 | 0.0 | 10.17 |
| 6 | 1.2 | 7.75 |
| 7 | 0.0 | 13.38 |
| 8 | 0.0 | 15.54 |
| 9 | 0.0 | 6.52 |
| 10 | 0.0 | 13.05 |
| 11 | 0.0 | 5.65 |
| 12 | 4.5 | 3.27 |